The following is a PBE calculation of a geometry-optimized BaPrSi2Ni4 structure, from OQMD via LeMat-Bulk.

Calculated values
- Final energy: -5.50 eV/atom
- Crystal system: hexagonal

a b c (Å): 4.032 4.032 10.500
angles (deg): 90.00 90.00 120.00
Atoms (fractional coordinates):
Ba 0.000 0.000 0.000
Pr 0.333 0.667 0.500
Si 0.667 0.333 0.267
Si 0.667 0.333 0.733
Ni 0.000 0.000 0.305
Ni 0.000 0.000 0.695
Ni 0.333 0.667 0.226
Ni 0.333 0.667 0.774